1.
Below is crystalline BaTl2SnS at its relaxed geometry, with properties calculated at the PBE level.

Cell lengths 5.659, 5.659, 5.909 Å; angles 90.00, 90.00, 90.00 degrees
Fractional positions:
Ba  0.000  0.000  0.000
Tl  0.000  0.500  0.500
Tl  0.500  0.000  0.500
Sn  0.500  0.500  0.000
S  0.000  0.000  0.500

Computed properties:
Its energy relative to the elements, uncorrected is -0.24 eV per atom. The value obtained for the spin magnetization is 0.000 μB/cell.

***

2.
Below is crystalline RbV2W4 at its relaxed geometry, with properties calculated at the PBE level.

Cell lengths 4.655, 4.655, 12.735 Å; angles 90.00, 90.00, 90.00 degrees
Fractional positions:
Rb  0.000  0.000  0.000
Rb  0.500  0.500  0.500
V  0.000  0.000  0.383
V  0.000  0.000  0.617
V  0.500  0.500  0.117
V  0.500  0.500  0.883
W  0.000  0.000  0.202
W  0.000  0.000  0.798
W  0.000  0.500  0.000
W  0.000  0.500  0.500
W  0.500  0.000  0.000
W  0.500  0.000  0.500
W  0.500  0.500  0.298
W  0.500  0.500  0.702

Computed properties:
The formation energy is 69.36 kcal/mol of atoms. The value obtained for the spin magnetization is 0.000 μB/cell.

***

3.
Below is crystalline LuMgMnIr at its relaxed geometry, with properties calculated at the PBE level.

Cell lengths 6.575, 6.575, 6.575 Å; angles 90.00, 90.00, 90.00 degrees
Fractional positions:
Lu  0.000  0.000  0.000
Lu  0.000  0.500  0.500
Lu  0.500  0.000  0.500
Lu  0.500  0.500  0.000
Mg  0.000  0.000  0.500
Mg  0.000  0.500  0.000
Mg  0.500  0.000  0.000
Mg  0.500  0.500  0.500
Mn  0.250  0.250  0.750
Mn  0.250  0.750  0.250
Mn  0.750  0.250  0.250
Mn  0.750  0.750  0.750
Ir  0.250  0.250  0.250
Ir  0.250  0.750  0.750
Ir  0.750  0.250  0.750
Ir  0.750  0.750  0.250

Computed properties:
The formation energy is -6.58 kcal/mol of atoms. The value obtained for the spin magnetization is 13.532 μB/cell.

***

4.
Below is crystalline Pr3Y2Te8 at its relaxed geometry, with properties calculated at the PBE level.

Cell lengths 8.992, 8.992, 7.690 Å; angles 106.44, 106.44, 59.50 degrees
Fractional positions:
Pr  0.000  0.000  0.000
Pr  0.259  0.741  0.500
Pr  0.741  0.259  0.500
Y  0.250  0.250  0.834
Y  0.750  0.750  0.166
Te  0.121  0.626  0.083
Te  0.125  0.125  0.423
Te  0.374  0.879  0.917
Te  0.381  0.381  0.615
Te  0.619  0.619  0.385
Te  0.626  0.121  0.083
Te  0.875  0.875  0.577
Te  0.879  0.374  0.917

Computed properties:
Its energy relative to the elements, uncorrected is -1.25 eV per atom. The value obtained for the spin magnetization is 0.000 μB/cell.

***

5.
Below is crystalline CeHAu at its relaxed geometry, with properties calculated at the PBE level.

Cell lengths 3.094, 3.094, 12.253 Å; angles 90.00, 90.00, 90.00 degrees
Fractional positions:
Ce  0.000  0.000  0.000
Ce  0.500  0.500  0.500
H  0.000  0.000  0.822
H  0.500  0.500  0.322
Au  0.000  0.000  0.681
Au  0.500  0.500  0.181

Computed properties:
The calculation puts the uncorrected energy at -4.1265 eV/atom. The value obtained for the spin magnetization is 0.379 μB/cell.

***

6.
Below is crystalline TlRuIO6 at its relaxed geometry, with properties calculated at the PBE level.

Cell lengths 5.300, 5.300, 6.242 Å; angles 90.00, 90.00, 120.00 degrees
Fractional positions:
Tl  0.000  0.000  0.000
Ru  0.667  0.333  0.500
I  0.333  0.667  0.500
O  0.002  0.385  0.322
O  0.002  0.617  0.678
O  0.383  0.385  0.678
O  0.383  0.998  0.322
O  0.615  0.617  0.322
O  0.615  0.998  0.678

Computed properties:
Its energy relative to the elements, uncorrected is -0.60 eV per atom. The value obtained for the spin magnetization is 2.005 μB/cell.

***

7.
Below is crystalline ZrHgSeN2 at its relaxed geometry, with properties calculated at the PBE level.

Cell lengths 4.150, 4.150, 5.840 Å; angles 90.00, 90.00, 90.00 degrees
Fractional positions:
Zr  0.000  0.000  0.000
Hg  0.500  0.500  0.500
Se  0.000  0.000  0.500
N  0.000  0.500  0.000
N  0.500  0.000  0.000

Computed properties:
Its energy relative to the elements, uncorrected is 0.33 eV per atom. The value obtained for the spin magnetization is 0.243 μB/cell.

***

8.
Below is crystalline AsOs at its relaxed geometry, with properties calculated at the PBE level.

Cell lengths 5.117, 5.117, 5.117 Å; angles 90.00, 90.00, 90.00 degrees
Fractional positions:
As  0.000  0.000  0.000
As  0.000  0.500  0.500
As  0.500  0.000  0.500
As  0.500  0.500  0.000
Os  0.000  0.000  0.500
Os  0.000  0.500  0.000
Os  0.500  0.000  0.000
Os  0.500  0.500  0.500

Computed properties:
The formation energy is 21.00 kcal/mol of atoms. The value obtained for the spin magnetization is 2.346 μB/cell.

***

For reference, DOS at the Fermi energy by record: 5.0; 16.6; 6.1; 7.3; 7.4; 0.2; 3.5; 9.8 states/eV/cell.